Here is HfFeO3 after structural relaxation from the Alexandria database. Energies are from PBE+U.

```
data_HfFeO3
_cell_length_a 5.4256
_cell_length_b 5.5022
_cell_length_c 7.8680
_cell_angle_alpha 90.00
_cell_angle_beta 90.00
_cell_angle_gamma 90.00
_symmetry_space_group_name_H-M 'P 1'
_symmetry_Int_Tables_number 1
loop_
_symmetry_equiv_pos_as_xyz
'x,y,z'
loop_
_atom_site_label
_atom_site_type_symbol
_atom_site_fract_x
_atom_site_fract_y
_atom_site_fract_z
Hf1 Hf 0.0000 0.0000 0.5000
O1 O 0.6187 0.5761 0.7500
Fe1 Fe 0.4914 0.0355 0.2500
O2 O 0.6705 0.8255 0.0652
Fe2 Fe 0.5086 0.9645 0.7500
Hf2 Hf 0.5000 0.5000 0.0000
O3 O 0.3813 0.4239 0.2500
Fe3 Fe 0.0086 0.5355 0.2500
O4 O 0.6705 0.8255 0.4348
Hf3 Hf 0.0000 0.0000 0.0000
O5 O 0.3295 0.1745 0.5652
O6 O 0.8813 0.0761 0.7500
O7 O 0.8295 0.3255 0.0652
O8 O 0.1705 0.6745 0.9348
Hf4 Hf 0.5000 0.5000 0.5000
O9 O 0.1187 0.9239 0.2500
Fe4 Fe 0.9914 0.4645 0.7500
O10 O 0.1705 0.6745 0.5652
O11 O 0.8295 0.3255 0.4348
O12 O 0.3295 0.1745 0.9348
```

**Space-group type**: No. 62
**Total DFT energy (no corrections)**: -8.714 eV/atom